HfGaNi2 after structural relaxation. Source: Alexandria via LeMat-Bulk, functional GGA-PBE.

Cell: 3.8828 3.8828 8.8128 Å, 77.27 77.27 90.00°
Last column: nearest neighbours and their distance in Å.
Fractional positions:
Ni  0.5824  0.1250  0.2500  2 Ga 2.44, 2 Ni 2.52, 2 Hf 2.57
Ni  0.1676  0.6250  0.2500  2 Ga 2.44, 2 Ni 2.52, 2 Hf 2.57
Ni  0.3750  0.4176  0.7500  2 Ga 2.44, 2 Ni 2.52, 2 Hf 2.57
Ni  0.8750  0.8324  0.7500  2 Ga 2.44, 2 Ni 2.52, 2 Hf 2.57
Hf  0.0000  0.0000  0.0000  4 Ni 2.57, 4 Ga 2.75
Hf  0.7500  0.2500  0.5000  4 Ni 2.57, 4 Ga 2.75
Ga  0.5000  0.5000  0.0000  4 Ni 2.44
Ga  0.2500  0.7500  0.5000  4 Ni 2.44

Calculated values
Energy relative to the elements   -0.030 eV per atom
V   126.25 Å³ per cell
Crystal system   tetragonal


LaHfTe2N after structural relaxation. Source: Alexandria via LeMat-Bulk, functional GGA-PBE.

Cell: 6.1018 6.1018 4.0047 Å, 90.00 90.00 90.00°
Last column: nearest neighbours and their distance in Å.
Fractional positions:
N  0.0000  0.0000  0.5000  2 La 2.00
Te  0.0000  0.5000  0.0000  2 La 3.05
Te  0.5000  0.0000  0.0000  2 La 3.05
Hf  0.5000  0.5000  0.5000  8 Te 3.65, 2 Hf 4.00
La  0.0000  0.0000  0.0000  2 N 2.00

Calculated values
V   149.10 Å³ per cell
Raw formation energy   8.365 kcal/mol of atoms
E above lowest polymorph   6.07 eV per formula unit
Crystal system   tetragonal


La10In3Pb3 after structural relaxation. Source: Alexandria via LeMat-Bulk, functional GGA-PBE.

Cell: 7.0350 9.5734 9.5734 Å, 120.00 90.00 90.00°
Last column: nearest neighbours and their distance in Å.
Fractional positions:
La  0.2500  0.6667  0.3333  3 In 3.41, 3 Pb 3.43, 2 La 3.52
La  0.2500  0.3333  0.6667  3 In 3.41, 3 Pb 3.43, 2 La 3.52
La  0.7500  0.3333  0.6667  3 In 3.41, 3 Pb 3.43, 2 La 3.52
La  0.7500  0.6667  0.3333  3 In 3.41, 3 Pb 3.43, 2 La 3.52
La  0.5000  0.0000  0.7570  3 Pb 3.30-3.48
La  0.5000  0.7570  0.0000  3 Pb 3.30-3.48
La  0.5000  0.2430  0.2430  3 Pb 3.30-3.48
La  0.0000  0.0000  0.2382  3 In 3.33-3.47
La  0.0000  0.2382  0.0000  3 In 3.33-3.47
La  0.0000  0.7618  0.7618  3 In 3.33-3.47
In  0.0000  0.0000  0.6005  7 La 3.33-3.47
In  0.0000  0.6005  0.0000  7 La 3.33-3.47
In  0.0000  0.3995  0.3995  7 La 3.33-3.47
Pb  0.5000  0.0000  0.3939  7 La 3.30-3.48
Pb  0.5000  0.3939  0.0000  7 La 3.30-3.48
Pb  0.5000  0.6061  0.6061  7 La 3.30-3.48

Calculated values
Energy relative to the elements   -0.452 eV per atom
V   558.38 Å³ per cell
Crystal system   hexagonal


Number 1: total DFT energy (no corrections) -49.32 eV per cell. Number 2: total DFT energy (no corrections) -27.68 eV per cell. Number 3: total DFT energy (no corrections) -75.84 eV per cell.